Computed, not measured: an optimized crystal structure of BaCu2Rh2 at the PBE level of DFT.

a b c (Å): 5.9025 5.9025 5.9025
angles (deg): 135.85 135.85 64.22
Last column: nearest neighbours and their distance in Å.
Fractional positions:
Ba 0.0000 0.0000 0.0000  8 Cu 3.34, 8 Rh 3.38
Cu 0.2500 0.7500 0.5000  4 Rh 2.55
Cu 0.7500 0.2500 0.5000  4 Rh 2.55
Rh 0.3748 0.3748 0.0000  1 Rh 2.50, 4 Cu 2.55
Rh 0.6252 0.6252 0.0000  1 Rh 2.50, 4 Cu 2.55

VASP energy (eV/atom): -4.86
Total magnetic moment (μB/atom): 0.00
DFT formation energy (eV/atom): 0.102
Density of states at the Fermi level (states/eV per atom): 0.4727
Distance to the lowest polymorph of the same formula (meV per atom): 0.0